Entry from Alexandria: a geometry-optimized La12ErIn6 structure (PBE).

Computed properties:
- energy relative to the elements (eV/atom) = -0.2720
- calculated density (g cm⁻³) = 6.92

Lattice parameters (Å, degrees): 8.4616 8.4616 8.4616 89.46 89.46 89.46
Fractional positions:
La 0.8175 0.5272 0.4370
La 0.4370 0.8175 0.5272
La 0.5272 0.4370 0.8175
La 0.1825 0.4728 0.5630
La 0.5630 0.1825 0.4728
La 0.4728 0.5630 0.1825
La 0.0572 0.1502 0.3891
La 0.8498 0.6109 0.9428
La 0.6109 0.9428 0.8498
La 0.9428 0.8498 0.6109
La 0.1502 0.3891 0.0572
La 0.3891 0.0572 0.1502
Er 0.0000 0.0000 0.0000
In 0.7366 0.8805 0.2502
In 0.7498 0.2634 0.1195
In 0.1195 0.7498 0.2634
In 0.2634 0.1195 0.7498
In 0.2502 0.7366 0.8805
In 0.8805 0.2502 0.7366


Entry from Alexandria: a geometry-optimized Ca2Al5Zn12 structure (PBE).

Computed properties:
- energy relative to the elements (eV/atom) = -0.1514
- calculated density (g cm⁻³) = 5.13

Lattice parameters (Å, degrees): 6.9081 6.9081 6.9081 83.33 83.33 83.33
Fractional positions:
Ca 0.6637 0.6637 0.6637
Ca 0.3363 0.3363 0.3363
Al 0.0000 0.0000 0.5000
Al 0.0000 0.5000 0.0000
Al 0.5000 0.0000 0.0000
Al 0.9013 0.9013 0.9013
Al 0.0987 0.0987 0.0987
Zn 0.3030 0.6970 0.0000
Zn 0.6970 0.0000 0.3030
Zn 0.0000 0.3030 0.6970
Zn 0.6970 0.3030 0.0000
Zn 0.3030 0.0000 0.6970
Zn 0.0000 0.6970 0.3030
Zn 0.3510 0.3510 0.8378
Zn 0.3510 0.8378 0.3510
Zn 0.8378 0.3510 0.3510
Zn 0.6490 0.1622 0.6490
Zn 0.6490 0.6490 0.1622
Zn 0.1622 0.6490 0.6490


Entry from Alexandria: a geometry-optimized LaBiH6Rh2 structure (PBE).

Computed properties:
- uncorrected energy (eV/f.u.) = -46.84
- calculated density (g cm⁻³) = 8.16

Lattice parameters (Å, degrees): 7.2773 7.2773 4.6716 86.33 86.33 112.00
Fractional positions:
La 0.1646 0.8354 0.2500
La 0.8354 0.1646 0.7500
Bi 0.6094 0.3906 0.2500
Bi 0.3906 0.6094 0.7500
H 0.9565 0.3082 0.1971
H 0.6918 0.0435 0.3029
H 0.0435 0.6918 0.8029
H 0.3082 0.9565 0.6971
H 0.1492 0.1456 0.0077
H 0.8544 0.8508 0.4923
H 0.8508 0.8544 0.9923
H 0.1456 0.1492 0.5077
H 0.1293 0.4845 0.4516
H 0.5155 0.8707 0.0484
H 0.8707 0.5155 0.5484
H 0.4845 0.1293 0.9516
Rh 0.3420 0.1887 0.7376
Rh 0.8113 0.6580 0.7624
Rh 0.6580 0.8113 0.2624
Rh 0.1887 0.3420 0.2376


Entry from Alexandria: a geometry-optimized MnCo2IrSe6 structure (PBE).

Computed properties:
- calculated density (g cm⁻³) = 7.04
- energy relative to the elements, uncorrected (meV per atom) = -221

Lattice parameters (Å, degrees): 6.1965 8.0780 8.0780 83.64 82.46 82.46
Fractional positions:
Mn 0.2500 0.9053 0.0947
Mn 0.7500 0.0947 0.9053
Co 0.1921 0.7718 0.6053
Co 0.3079 0.3947 0.2282
Co 0.8079 0.2282 0.3947
Co 0.6921 0.6053 0.7718
Ir 0.2500 0.2613 0.7387
Ir 0.7500 0.7387 0.2613
Se 0.1237 0.9709 0.7999
Se 0.3763 0.2001 0.0291
Se 0.8763 0.0291 0.2001
Se 0.6237 0.7999 0.9709
Se 0.3830 0.8851 0.3708
Se 0.1170 0.6292 0.1149
Se 0.6170 0.1149 0.6292
Se 0.8830 0.3708 0.8851
Se 0.8995 0.6778 0.5330
Se 0.6005 0.4670 0.3222
Se 0.1005 0.3222 0.4670
Se 0.3995 0.5330 0.6778


Entry from Alexandria: a geometry-optimized Dy4InHgN structure (PBE).

Computed properties:
- calculated density (g cm⁻³) = 9.30
- energy relative to the elements, uncorrected (meV per atom) = -728

Lattice parameters (Å, degrees): 6.8278 6.8315 8.2395 90.00 114.48 90.00
Fractional positions:
Dy 0.9195 0.2500 0.8391
Dy 0.4122 0.7500 0.8243
Dy 0.0805 0.7500 0.1609
Dy 0.5878 0.2500 0.1757
Dy 0.5000 0.5000 0.5000
Dy 0.0000 0.0000 0.5000
Dy 0.5000 0.0000 0.5000
Dy 0.0000 0.5000 0.5000
In 0.6172 0.7500 0.2344
In 0.3828 0.2500 0.7656
Hg 0.1186 0.2500 0.2372
Hg 0.8814 0.7500 0.7628
N 0.2511 0.7500 0.5023
N 0.7489 0.2500 0.4977


Entry from Alexandria: a geometry-optimized PrDyHoAg structure (PBE).

Computed properties:
- energy relative to the elements (eV/atom) = -0.1337
- calculated density (g cm⁻³) = 8.26
- polymorph energy (0 for the lowest one) (meV/atom) = 0

Lattice parameters (Å, degrees): 3.6336 3.6336 8.7690 90.00 90.00 90.00
Fractional positions:
Pr 0.0000 0.0000 0.0721
Dy 0.5000 0.5000 0.7774
Ho 0.5000 0.5000 0.3658
Ag 0.0000 0.0000 0.5694


Entry from Alexandria: a geometry-optimized Tm5MgTe4 structure (PBE).

Computed properties:
- calculated density (g cm⁻³) = 7.48
- energy relative to the elements, uncorrected (meV per atom) = -651

Lattice parameters (Å, degrees): 7.1942 9.0687 9.3858 90.00 90.00 90.00
Fractional positions:
Tm 0.2425 0.6908 0.8016
Tm 0.2425 0.3092 0.8016
Tm 0.8837 0.5000 0.0000
Tm 0.2425 0.6908 0.1984
Tm 0.2425 0.3092 0.1984
Tm 0.7575 0.8092 0.3016
Tm 0.7575 0.1908 0.3016
Tm 0.1163 0.0000 0.5000
Tm 0.7575 0.1908 0.6984
Tm 0.7575 0.8092 0.6984
Mg 0.7567 0.0000 0.0000
Mg 0.2433 0.5000 0.5000
Te 0.0851 0.0000 0.8113
Te 0.5725 0.7283 0.0000
Te 0.5725 0.2717 0.0000
Te 0.0851 0.0000 0.1887
Te 0.9149 0.5000 0.3113
Te 0.4275 0.7717 0.5000
Te 0.4275 0.2283 0.5000
Te 0.9149 0.5000 0.6887


Entry from Alexandria: a geometry-optimized YSi2Ag structure (PBE).

Computed properties:
- calculated density (g cm⁻³) = 4.75
- energy relative to the elements, uncorrected (meV per atom) = -55

Lattice parameters (Å, degrees): 4.5270 4.5270 9.2060 75.77 75.77 90.00
Fractional positions:
Y 0.5000 0.5000 0.0000
Y 0.2500 0.7500 0.5000
Si 0.7346 0.1250 0.2500
Si 0.0154 0.6250 0.2500
Si 0.3750 0.2654 0.7500
Si 0.8750 0.9846 0.7500
Ag 0.0000 0.0000 0.0000
Ag 0.7500 0.2500 0.5000


Entry from Alexandria: a geometry-optimized HfSc2Pb structure (PBE).

Computed properties:
- energy relative to the elements (eV/atom) = -0.1239
- calculated density (g cm⁻³) = 8.13
- polymorph energy (0 for the lowest one) (meV/atom) = 28

Lattice parameters (Å, degrees): 3.3460 3.3460 10.2059 80.57 80.57 60.00
Fractional positions:
Hf 0.4998 0.4998 0.5006
Sc 0.0852 0.0852 0.7445
Sc 0.2484 0.2484 0.2548
Pb 0.6666 0.6666 0.0001


Entry from Alexandria: a geometry-optimized Pm4SmHo7 structure (PBE).

Computed properties:
- energy relative to the elements (eV/atom) = 0.0857
- calculated density (g cm⁻³) = 7.98
- polymorph energy (0 for the lowest one) (meV/atom) = 0

Lattice parameters (Å, degrees): 6.8355 6.5581 11.8339 75.21 49.87 81.70
Fractional positions:
Pm 0.5247 0.6384 0.2848
Pm 0.4753 0.3616 0.7152
Pm 0.6940 0.8360 0.6915
Pm 0.3060 0.1640 0.3085
Sm 0.0000 0.0000 0.0000
Ho 0.8013 0.5135 0.9495
Ho 0.1987 0.4865 0.0505
Ho 0.0569 0.3187 0.6413
Ho 0.9431 0.6813 0.3587
Ho 0.2797 0.8119 0.6147
Ho 0.5000 0.0000 0.0000
Ho 0.7203 0.1881 0.3853


Entry from Alexandria: a geometry-optimized Tm4MgPd5 structure (PBE).

Computed properties:
- energy relative to the elements (eV/atom) = -0.8929
- calculated density (g cm⁻³) = 10.30

Lattice parameters (Å, degrees): 3.3973 3.3973 17.2070 90.00 90.00 90.00
Fractional positions:
Tm 0.0000 0.0000 0.1889
Tm 0.0000 0.0000 0.3964
Tm 0.0000 0.0000 0.6036
Tm 0.0000 0.0000 0.8111
Mg 0.0000 0.0000 0.0000
Pd 0.5000 0.5000 0.0895
Pd 0.5000 0.5000 0.2930
Pd 0.5000 0.5000 0.5000
Pd 0.5000 0.5000 0.7070
Pd 0.5000 0.5000 0.9105


Entry from Alexandria: a geometry-optimized TbSm2Si2 structure (PBE).

Computed properties:
- calculated density (g cm⁻³) = 6.88
- energy relative to the elements, uncorrected (meV per atom) = -689
- polymorph energy (0 for the lowest one) (meV/atom) = 0

Lattice parameters (Å, degrees): 4.3178 7.5933 7.5933 90.00 90.00 90.00
Fractional positions:
Tb 0.0000 0.0000 0.0000
Tb 0.0000 0.5000 0.5000
Sm 0.5000 0.1767 0.6767
Sm 0.5000 0.6767 0.8233
Sm 0.5000 0.8233 0.3233
Sm 0.5000 0.3233 0.1767
Si 0.0000 0.3856 0.8856
Si 0.0000 0.8856 0.6144
Si 0.0000 0.6144 0.1144
Si 0.0000 0.1144 0.3856


Entry from Alexandria: a geometry-optimized CsRbPt3 structure (PBE).

Computed properties:
- energy relative to the elements (eV/atom) = 1.4015
- calculated density (g cm⁻³) = 8.37
- polymorph energy (0 for the lowest one) (meV/atom) = 1394

Lattice parameters (Å, degrees): 5.4229 5.4229 5.4229 90.00 90.00 90.00
Fractional positions:
Cs 0.0000 0.0000 0.0000
Rb 0.5000 0.5000 0.5000
Pt 0.0000 0.5000 0.0000
Pt 0.0000 0.0000 0.5000
Pt 0.5000 0.0000 0.0000


Entry from Alexandria: a geometry-optimized SrMgInAg3 structure (PBE).

Computed properties:
- energy relative to the elements (eV/atom) = -0.1137
- calculated density (g cm⁻³) = 6.20

Lattice parameters (Å, degrees): 6.5845 6.4943 7.6160 115.24 90.00 90.00
Fractional positions:
Sr 0.7500 0.3094 0.6188
Sr 0.2500 0.6906 0.3812
Mg 0.2500 0.9269 0.8538
Mg 0.7500 0.0731 0.1462
In 0.2500 0.3519 0.7039
In 0.7500 0.6481 0.2961
Ag 0.2500 0.1383 0.2766
Ag 0.0000 0.2862 0.0000
Ag 0.5000 0.7138 0.0000
Ag 0.5000 0.2862 0.0000
Ag 0.0000 0.7138 0.0000
Ag 0.7500 0.8617 0.7234


Entry from Alexandria: a geometry-optimized NaTlPb2S4 structure (PBE).

Computed properties:
- calculated density (g cm⁻³) = 6.47
- energy relative to the elements, uncorrected (meV per atom) = -493

Lattice parameters (Å, degrees): 8.1986 8.1986 8.2866 120.36 120.36 88.37
Fractional positions:
Na 0.0000 0.5000 0.0000
Na 0.0000 0.5000 0.5000
Tl 0.5000 0.5000 0.5000
Tl 0.0000 0.0000 0.0000
Pb 0.5000 0.0000 0.0000
Pb 0.5000 0.0000 0.5000
Pb 0.0000 0.0000 0.5000
Pb 0.5000 0.5000 0.0000
S 0.2361 0.7552 0.9956
S 0.7448 0.2639 0.5044
S 0.2552 0.7361 0.4956
S 0.7639 0.2448 0.0044
S 0.7549 0.7451 0.9967
S 0.7549 0.7451 0.5033
S 0.2451 0.2549 0.4967
S 0.2451 0.2549 0.0033


Entry from Alexandria: a geometry-optimized YHg3Pd6 structure (PBE).

Computed properties:
- energy relative to the elements (eV/atom) = -0.3702
- calculated density (g cm⁻³) = 12.20
- polymorph energy (0 for the lowest one) (meV/atom) = 13

Lattice parameters (Å, degrees): 4.7466 10.6031 10.0160 134.13 90.00 90.00
Fractional positions:
Y 0.7500 0.9166 0.6448
Y 0.2500 0.0834 0.3552
Hg 0.7500 0.4930 0.8468
Hg 0.2500 0.5070 0.1532
Hg 0.7500 0.5067 0.3455
Hg 0.2500 0.4933 0.6545
Hg 0.7500 0.1162 0.0631
Hg 0.2500 0.8838 0.9369
Pd 0.7500 0.3077 0.4470
Pd 0.2500 0.6923 0.5530
Pd 0.7500 0.8876 0.1196
Pd 0.2500 0.1124 0.8804
Pd 0.7500 0.3013 0.9431
Pd 0.2500 0.6987 0.0569
Pd 0.7500 0.7226 0.2488
Pd 0.2500 0.2774 0.7512
Pd 0.7500 0.1032 0.5388
Pd 0.2500 0.8968 0.4612
Pd 0.7500 0.6930 0.7299
Pd 0.2500 0.3070 0.2701


Entry from Alexandria: a geometry-optimized Pr2Dy6HoEr structure (PBE).

Computed properties:
- energy relative to the elements (eV/atom) = 0.1171
- calculated density (g cm⁻³) = 8.10

Lattice parameters (Å, degrees): 9.7223 8.7748 8.7748 118.12 94.69 94.69
Fractional positions:
Pr 0.4578 0.8067 0.7036
Pr 0.0422 0.2964 0.1933
Pr 0.5422 0.1933 0.2964
Pr 0.9578 0.7036 0.8067
Dy 0.0573 0.1250 0.7442
Dy 0.4427 0.2558 0.8750
Dy 0.9427 0.8750 0.2558
Dy 0.5573 0.7442 0.1250
Dy 0.3119 0.9788 0.4234
Dy 0.1881 0.5766 0.0212
Dy 0.6881 0.0212 0.5766
Dy 0.8119 0.4234 0.9788
Dy 0.1192 0.7074 0.4970
Dy 0.3808 0.5030 0.2926
Dy 0.8808 0.2926 0.5030
Dy 0.6192 0.4970 0.7074
Ho 0.2500 0.9826 0.0174
Ho 0.7500 0.0174 0.9826
Er 0.2500 0.4064 0.5936
Er 0.7500 0.5936 0.4064


Entry from Alexandria: a geometry-optimized Nb2TeIr structure (PBE).

Computed properties:
- calculated density (g cm⁻³) = 7.68
- energy relative to the elements, uncorrected (meV per atom) = 493

Lattice parameters (Å, degrees): 6.1974 6.1974 7.1837 64.45 64.45 90.00
Fractional positions:
Nb 0.6651 0.1250 0.2500
Nb 0.0849 0.6250 0.2500
Nb 0.3750 0.3349 0.7500
Nb 0.8750 0.9151 0.7500
Ir 0.0000 0.0000 0.0000
Ir 0.7500 0.2500 0.5000
Te 0.5000 0.5000 0.0000
Te 0.2500 0.7500 0.5000


Entry from Alexandria: a geometry-optimized SmZrP structure (PBE).

Computed properties:
- energy relative to the elements (eV/atom) = -1.0409
- calculated density (g cm⁻³) = 6.90
- polymorph energy (0 for the lowest one) (meV/atom) = 0

Lattice parameters (Å, degrees): 4.0739 4.0739 8.4211 104.04 104.04 89.97
Fractional positions:
P 0.8738 0.8738 0.7473
P 0.1262 0.1262 0.2527
Sm 0.3223 0.3223 0.6447
Sm 0.6777 0.6777 0.3553
Zr 0.5000 0.0000 0.0000
Zr 0.0000 0.5000 0.0000


Entry from Alexandria: a geometry-optimized DySc5Pd4 structure (PBE).

Computed properties:
- energy relative to the elements (eV/atom) = -0.6985
- calculated density (g cm⁻³) = 6.73

Lattice parameters (Å, degrees): 3.3131 3.3131 18.2753 90.00 90.00 90.00
Fractional positions:
Dy 0.0000 0.0000 0.0000
Sc 0.5000 0.5000 0.1371
Sc 0.5000 0.5000 0.3171
Sc 0.5000 0.5000 0.5000
Sc 0.5000 0.5000 0.6829
Sc 0.5000 0.5000 0.8629
Pd 0.0000 0.0000 0.2275
Pd 0.0000 0.0000 0.4084
Pd 0.0000 0.0000 0.5916
Pd 0.0000 0.0000 0.7725


no.,spin magnetization (μB/f.u.),Fermi-level density of states (states/eV/atom)
1,0.00,1.15
2,0.00,0.27
3,0.00,0.19
4,1.77,0.73
5,0.00,0.24
6,0.00,1.42
7,0.00,0.67
8,0.00,0.23
9,0.00,1.20
10,0.00,1.61
11,0.00,0.60
12,0.00,0.88
13,0.00,1.11
14,0.00,0.46
15,0.00,0.36
16,0.00,0.34
17,0.00,1.36
18,0.00,0.94
19,0.12,0.90
20,0.00,0.91